Entry 1:
# Sr2LiHAu, optimized geometry, DFT GGA-PBE
# Mass density (g cm⁻³): 4.93
data_Sr2LiHAu
_space_group_name_H-M_alt 'P 1 21/m 1'
_space_group_IT_number 11
_cell_length_a 6.5371
_cell_length_b 4.4634
_cell_length_c 9.3242
_cell_angle_alpha 90.00
_cell_angle_beta 109.66
_cell_angle_gamma 90.00
loop_
_space_group_symop_operation_xyz
'x,y,z'
'-x,-y,-z'
'-x,y+1/2,-z'
'x,-y+1/2,z'
loop_
_atom_site_label
_atom_site_fract_x
_atom_site_fract_y
_atom_site_fract_z
Sr1 0.2249 0.2500 0.4289
Sr2 0.2666 0.7500 0.0524
Li1 0.3306 0.7500 0.7077
H1 0.3855 0.7500 0.5300
Au1 0.1529 0.2500 0.7849

Entry 2:
# Sr2LiHAu, optimized geometry, DFT GGA-PBE
# Mass density (g cm⁻³): 5.43
data_Sr2LiHAu
_space_group_name_H-M_alt 'P 4/m m m'
_space_group_IT_number 123
_space_group_name_Hall '-P 4 2'
_cell_length_a 5.3447
_cell_length_b 5.3447
_cell_length_c 4.0693
_cell_angle_alpha 90.00
_cell_angle_beta 90.00
_cell_angle_gamma 90.00
loop_
_atom_site_label
_atom_site_fract_x
_atom_site_fract_y
_atom_site_fract_z
Sr1 0.0000 0.5000 0.0000
Li1 0.0000 0.0000 0.5000
H1 0.0000 0.0000 0.0000
Au1 0.5000 0.5000 0.5000

Entry 3:
# SrLi2HAu, optimized geometry, DFT GGA-PBE
# Mass density (g cm⁻³): 5.25
data_SrLi2HAu
_space_group_name_H-M_alt 'P 4/m m m'
_space_group_IT_number 123
_space_group_name_Hall '-P 4 2'
_cell_length_a 4.3201
_cell_length_b 4.3201
_cell_length_c 5.0793
_cell_angle_alpha 90.00
_cell_angle_beta 90.00
_cell_angle_gamma 90.00
loop_
_atom_site_label
_atom_site_fract_x
_atom_site_fract_y
_atom_site_fract_z
Sr1 0.0000 0.0000 0.0000
Li1 0.0000 0.5000 0.5000
H1 0.0000 0.0000 0.5000
Au1 0.5000 0.5000 0.0000

no.,energy above the lowest structure with this stoichiometry (eV/f.u.),uncorrected energy (eV/f.u.)
1,0.000,-14.23
2,0.127,-14.10
3,0.390,-13.90